#i
# Tl2SiOs

Tl2SiOs after structural relaxation (GGA-PBE, the Alexandria database).

Output
V = 79 Å³/cell
Spin magnetization = 0.00 μB per atom

a = 5.136 Å, b = 5.136 Å, c = 5.136 Å
α = 129.37°, β = 129.37°, γ = 74.42°
Positions (direct):
Si1 0.750 0.250 0.500
Tl1 0.000 0.000 0.000
Tl2 0.250 0.750 0.500
Os1 0.500 0.500 0.000



#ii
# Tl2SiOs

Tl2SiOs after structural relaxation (GGA-PBE, the Alexandria database).

Output
V = 80 Å³/cell
Spin magnetization = 0.11 μB per atom

a = 3.833 Å, b = 3.833 Å, c = 5.462 Å
α = 90.00°, β = 90.00°, γ = 90.00°
Each line ends with the local moment (μB).
Positions (direct):
Si1 0.500 0.500 0.750  0.01
Os1 0.500 0.500 0.250  0.37
Tl1 0.000 0.000 0.497  0.01
Tl2 0.000 0.000 0.003  0.01



#iii
# Tl2SiOs

Tl2SiOs after structural relaxation (GGA-PBE, the Alexandria database).

Output
V = 81 Å³/cell
Spin magnetization = 0.00 μB per atom

a = 4.857 Å, b = 4.857 Å, c = 4.857 Å
α = 60.00°, β = 60.00°, γ = 60.00°
Positions (direct):
Os1 0.500 0.500 0.500
Tl1 0.750 0.750 0.750
Tl2 0.250 0.250 0.250
Si1 0.000 0.000 0.000



#iv
# Tl2SiOs

Tl2SiOs after structural relaxation (GGA-PBE, the Alexandria database).

Output
V = 85 Å³/cell
Spin magnetization = 0.00 μB per atom

a = 3.901 Å, b = 4.377 Å, c = 5.439 Å
α = 66.30°, β = 90.00°, γ = 90.00°
Positions (direct):
Tl1 0.000 0.975 0.925
Tl2 0.500 0.278 0.319
Si1 0.500 0.561 0.754
Os1 0.000 0.687 0.501



Which structure is most stable? #iv, by 52.6 kJ/mol of atoms over the runner-up.